[1]
A relaxed SrTaTl2 crystal, computed with PBE-GGA.

Lattice parameters (Å, degrees): 3.2950 4.2003 7.4026 90.00 90.00 90.00
Last column: nearest neighbours and their distance in Å.
Atoms (fractional coordinates):
Sr 0.0000 0.0000 0.0000  2 Sr 3.29, 8 Tl 3.42
Ta 0.0000 0.0000 0.5000  8 Tl 3.10, 2 Ta 3.29
Tl 0.5000 0.5000 0.2879  4 Ta 3.10, 3 Tl 3.14-3.29, 4 Sr 3.42
Tl 0.5000 0.5000 0.7121  4 Ta 3.10, 3 Tl 3.14-3.29, 4 Sr 3.42

Summary:
Total DFT energy (no corrections), eV per atom: -4.245
Crystal system: orthorhombic
Energy of formation from the pure elements, meV per atom: 321



[2]
A relaxed SrTa2Tl crystal, computed with PBE-GGA.

Lattice parameters (Å, degrees): 5.9777 5.9777 2.9859 90.00 90.00 118.61
Last column: nearest neighbours and their distance in Å.
Atoms (fractional coordinates):
Sr 0.0000 0.0000 0.0000  2 Sr 2.99, 2 Tl 3.05, 8 Ta 3.34
Ta 0.0000 0.5000 0.5000  4 Ta 2.99-3.05, 4 Tl 3.34, 4 Sr 3.34
Ta 0.5000 0.0000 0.5000  4 Ta 2.99-3.05, 4 Tl 3.34, 4 Sr 3.34
Tl 0.5000 0.5000 0.0000  2 Tl 2.99, 2 Sr 3.05, 8 Ta 3.34

Summary:
Total DFT energy (no corrections), eV per atom: -5.961
E above lowest polymorph, meV per atom: 618
Crystal system: orthorhombic
Energy of formation from the pure elements, meV per atom: 978



[3]
A relaxed SrTaTl2 crystal, computed with PBE-GGA.

Lattice parameters (Å, degrees): 5.6524 5.6524 3.2408 90.12 90.12 104.53
Last column: nearest neighbours and their distance in Å.
Atoms (fractional coordinates):
Sr 0.0000 0.0000 0.0000  2 Sr 3.24, 8 Tl 3.25-3.26, 2 Ta 3.46
Ta 0.5000 0.5000 0.0000  2 Ta 3.24, 8 Tl 3.25-3.26, 2 Sr 3.46
Tl 0.0000 0.5000 0.5000  4 Tl 3.24-3.46, 4 Ta 3.25-3.26, 4 Sr 3.25-3.26
Tl 0.5000 0.0000 0.5000  4 Tl 3.24-3.46, 4 Ta 3.25-3.26, 4 Sr 3.25-3.26

Summary:
Total DFT energy (no corrections), eV per atom: -4.079
Crystal system: monoclinic
Energy of formation from the pure elements, meV per atom: 488



[4]
A relaxed SrTaTl2 crystal, computed with PBE-GGA.

Lattice parameters (Å, degrees): 3.2637 3.2637 10.0615 90.00 90.00 90.00
Last column: nearest neighbours and their distance in Å.
Atoms (fractional coordinates):
Sr 0.0000 0.0000 0.0000  4 Sr 3.26, 4 Ta 3.42
Ta 0.5000 0.5000 0.2515  4 Tl 3.15, 4 Ta 3.26, 4 Sr 3.42
Tl 0.0000 0.0000 0.4645  4 Ta 3.15, 8 Tl 3.26-3.41
Tl 0.5000 0.5000 0.7140  8 Tl 3.26-3.41

Summary:
Total DFT energy (no corrections), eV per atom: -4.028
Crystal system: tetragonal
Energy of formation from the pure elements, meV per atom: 539



[5]
A relaxed SrTa2Tl crystal, computed with PBE-GGA.

Lattice parameters (Å, degrees): 2.9816 5.1601 6.1236 90.00 90.00 90.00
Last column: nearest neighbours and their distance in Å.
Atoms (fractional coordinates):
Sr 0.0000 0.0000 0.0000  2 Sr 2.98, 2 Tl 3.06
Ta 0.5000 0.5000 0.2483  4 Ta 2.98-3.08
Ta 0.5000 0.5000 0.7517  4 Ta 2.98-3.08
Tl 0.0000 0.0000 0.5000  2 Tl 2.98, 2 Sr 3.06

Summary:
Total DFT energy (no corrections), eV per atom: -5.936
E above lowest polymorph, meV per atom: 642
Crystal system: orthorhombic
Energy of formation from the pure elements, meV per atom: 1002



[6]
A relaxed SrTa2Tl crystal, computed with PBE-GGA.

Lattice parameters (Å, degrees): 5.8874 5.8874 5.8874 136.93 136.93 62.55
Last column: nearest neighbours and their distance in Å.
Atoms (fractional coordinates):
Sr 0.0000 0.0000 0.0000  4 Tl 3.06, 8 Ta 3.32
Ta 0.2500 0.7500 0.5000  4 Ta 3.06, 4 Tl 3.32, 4 Sr 3.32
Ta 0.7500 0.2500 0.5000  4 Ta 3.06, 4 Tl 3.32, 4 Sr 3.32
Tl 0.5000 0.5000 0.0000  4 Sr 3.06, 8 Ta 3.32

Summary:
Total DFT energy (no corrections), eV per atom: -6.043
E above lowest polymorph, meV per atom: 535
Crystal system: tetragonal
Energy of formation from the pure elements, meV per atom: 895



The highest total DFT energy (no corrections) belongs to which entry?
number 4